[1]
First-principles (GGA-PBE) data for crystalline Ni3Au5I12 at its relaxed geometry, as listed in Alexandria.

## Properties
- Spin magnetization: 1.85 μB per formula unit
- N(E_F): 0.98 states/eV per atom
- Energy: -197.76 eV for the cell shown

Unit cell a=15.3454 b=15.3454 c=15.3454 alpha=109.47 beta=109.47 gamma=109.47
Element x y z (fractional)
Ni: 0.1250 0.2500 0.3750
Ni: 0.1250 0.3750 0.7500
Ni: 0.2500 0.3750 0.1250
Ni: 0.2500 0.8750 0.6250
Ni: 0.3750 0.1250 0.2500
Ni: 0.3750 0.7500 0.1250
Ni: 0.6250 0.2500 0.8750
Ni: 0.6250 0.8750 0.7500
Ni: 0.7500 0.1250 0.3750
Ni: 0.7500 0.6250 0.8750
Ni: 0.8750 0.6250 0.2500
Ni: 0.8750 0.7500 0.6250
Au: 0.0000 0.0000 0.0000
Au: 0.0000 0.0000 0.5000
Au: 0.0000 0.5000 0.0000
Au: 0.0000 0.5000 0.5000
Au: 0.1250 0.7500 0.8750
Au: 0.1250 0.8750 0.2500
Au: 0.2500 0.1250 0.8750
Au: 0.2500 0.6250 0.3750
Au: 0.3750 0.2500 0.6250
Au: 0.3750 0.6250 0.7500
Au: 0.5000 0.0000 0.0000
Au: 0.5000 0.0000 0.5000
Au: 0.5000 0.5000 0.0000
Au: 0.5000 0.5000 0.5000
Au: 0.6250 0.3750 0.2500
Au: 0.6250 0.7500 0.3750
Au: 0.7500 0.3750 0.6250
Au: 0.7500 0.8750 0.1250
Au: 0.8750 0.1250 0.7500
Au: 0.8750 0.2500 0.1250
I: 0.0077 0.6443 0.1821
I: 0.0077 0.8634 0.8256
I: 0.0378 0.1744 0.6821
I: 0.0378 0.3634 0.3557
I: 0.1366 0.1744 0.9923
I: 0.1366 0.4622 0.1443
I: 0.1443 0.1366 0.4622
I: 0.1443 0.5077 0.6821
I: 0.1744 0.6821 0.0378
I: 0.1744 0.9923 0.1366
I: 0.1821 0.0077 0.6443
I: 0.1821 0.6744 0.5378
I: 0.3179 0.8557 0.4923
I: 0.3179 0.9622 0.8256
I: 0.3256 0.3634 0.5077
I: 0.3256 0.4622 0.8179
I: 0.3557 0.0378 0.3634
I: 0.3557 0.8179 0.9923
I: 0.3634 0.3557 0.0378
I: 0.3634 0.5077 0.3256
I: 0.4622 0.1443 0.1366
I: 0.4622 0.8179 0.3256
I: 0.4923 0.3179 0.8557
I: 0.4923 0.6744 0.6366
I: 0.5077 0.3256 0.3634
I: 0.5077 0.6821 0.1443
I: 0.5378 0.1821 0.6744
I: 0.5378 0.8557 0.8634
I: 0.6366 0.4923 0.6744
I: 0.6366 0.6443 0.9622
I: 0.6443 0.1821 0.0077
I: 0.6443 0.9622 0.6366
I: 0.6744 0.5378 0.1821
I: 0.6744 0.6366 0.4923
I: 0.6821 0.0378 0.1744
I: 0.6821 0.1443 0.5077
I: 0.8179 0.3256 0.4622
I: 0.8179 0.9923 0.3557
I: 0.8256 0.0077 0.8634
I: 0.8256 0.3179 0.9622
I: 0.8557 0.4923 0.3179
I: 0.8557 0.8634 0.5378
I: 0.8634 0.5378 0.8557
I: 0.8634 0.8256 0.0077
I: 0.9622 0.6366 0.6443
I: 0.9622 0.8256 0.3179
I: 0.9923 0.1366 0.1744
I: 0.9923 0.3557 0.8179

***

[2]
First-principles (GGA-PBE) data for crystalline HoLuCdTc at its relaxed geometry, as listed in Alexandria.

## Properties
- Spin magnetization: 0.00 μB per formula unit
- N(E_F): 0.79 states/eV per atom
- Energy: -83.54 eV for the cell shown

Unit cell a=7.0450 b=7.0450 c=7.0450 alpha=90.00 beta=90.00 gamma=90.00
Element x y z (fractional)
Ho: 0.0000 0.0000 0.0000
Ho: 0.0000 0.5000 0.5000
Ho: 0.5000 0.0000 0.5000
Ho: 0.5000 0.5000 0.0000
Lu: 0.0000 0.0000 0.5000
Lu: 0.0000 0.5000 0.0000
Lu: 0.5000 0.0000 0.0000
Lu: 0.5000 0.5000 0.5000
Cd: 0.2500 0.2500 0.2500
Cd: 0.2500 0.7500 0.7500
Cd: 0.7500 0.2500 0.7500
Cd: 0.7500 0.7500 0.2500
Tc: 0.2500 0.2500 0.7500
Tc: 0.2500 0.7500 0.2500
Tc: 0.7500 0.2500 0.2500
Tc: 0.7500 0.7500 0.7500

***

[3]
First-principles (GGA-PBE) data for crystalline Tc2RuF at its relaxed geometry, as listed in Alexandria.

## Properties
- Spin magnetization: 0.00 μB per formula unit
- N(E_F): 1.15 states/eV per atom
- Energy above the lowest structure with this stoichiometry: 134 meV per atom
- Energy: -121.02 eV for the cell shown

Unit cell a=6.3636 b=6.3636 c=5.5155 alpha=90.00 beta=90.00 gamma=90.00
Element x y z (fractional)
Tc: 0.2215 0.2500 0.1250
Tc: 0.2500 0.7215 0.3750
Tc: 0.2500 0.7785 0.8750
Tc: 0.2785 0.2500 0.6250
Tc: 0.7215 0.7500 0.6250
Tc: 0.7500 0.2215 0.8750
Tc: 0.7500 0.2785 0.3750
Tc: 0.7785 0.7500 0.1250
Ru: 0.0000 0.0000 0.5000
Ru: 0.0000 0.5000 0.7500
Ru: 0.5000 0.0000 0.2500
Ru: 0.5000 0.5000 0.0000
F: 0.0000 0.0000 0.0000
F: 0.0000 0.5000 0.2500
F: 0.5000 0.0000 0.7500
F: 0.5000 0.5000 0.5000

***

[4]
First-principles (GGA-PBE) data for crystalline HgAs2Pb4 at its relaxed geometry, as listed in Alexandria.

## Properties
- Spin magnetization: 0.00 μB per formula unit
- N(E_F): 0.41 states/eV per atom
- Energy: -24.03 eV for the cell shown

Unit cell a=7.1183 b=4.0821 c=8.0452 alpha=90.00 beta=106.41 gamma=90.00
Element x y z (fractional)
Hg: 0.0000 0.0000 0.0000
As: 0.0000 0.5000 0.5000
As: 0.5000 0.0000 0.5000
Pb: 0.2489 0.0000 0.7299
Pb: 0.2660 0.5000 0.2699
Pb: 0.7340 0.5000 0.7301
Pb: 0.7511 0.0000 0.2701

***

[5]
First-principles (GGA-PBE) data for crystalline CsMgGa3 at its relaxed geometry, as listed in Alexandria.

## Properties
- Spin magnetization: 0.00 μB per formula unit
- N(E_F): 0.78 states/eV per atom
- Energy above the lowest structure with this stoichiometry: 0 meV per atom
- Energy: -10.09 eV for the cell shown

Unit cell a=5.4601 b=5.4601 c=5.4601 alpha=90.00 beta=90.00 gamma=90.00
Element x y z (fractional)
Cs: 0.0000 0.0000 0.0000
Mg: 0.5000 0.5000 0.5000
Ga: 0.0000 0.5000 0.5000
Ga: 0.5000 0.0000 0.5000
Ga: 0.5000 0.5000 0.0000

***

[6]
First-principles (GGA-PBE) data for crystalline ErSnBr at its relaxed geometry, as listed in Alexandria.

## Properties
- Spin magnetization: 0.00 μB per formula unit
- N(E_F): 0.35 states/eV per atom
- Energy: -51.25 eV for the cell shown

Unit cell a=9.4894 b=9.4894 c=5.5987 alpha=90.00 beta=90.00 gamma=90.00
Element x y z (fractional)
Er: 0.0000 0.2921 0.0000
Er: 0.0000 0.7079 0.0000
Er: 0.2921 0.0000 0.5000
Er: 0.7079 0.0000 0.5000
Sn: 0.0000 0.1557 0.5000
Sn: 0.0000 0.8443 0.5000
Sn: 0.1557 0.0000 0.0000
Sn: 0.8443 0.0000 0.0000
Br: 0.2064 0.5000 0.0000
Br: 0.5000 0.2064 0.5000
Br: 0.5000 0.7936 0.5000
Br: 0.7936 0.5000 0.0000

***

[7]
First-principles (GGA-PBE) data for crystalline PmAl2CuPt4 at its relaxed geometry, as listed in Alexandria.

## Properties
- Spin magnetization: 0.00 μB per formula unit
- N(E_F): 0.61 states/eV per atom
- Energy: -47.55 eV for the cell shown

Unit cell a=9.1163 b=9.1163 c=9.1163 alpha=27.08 beta=27.08 gamma=27.08
Element x y z (fractional)
Pm: 0.0000 0.0000 0.0000
Al: 0.2355 0.2355 0.2355
Al: 0.7645 0.7645 0.7645
Cu: 0.5000 0.5000 0.5000
Pt: 0.1318 0.1318 0.1318
Pt: 0.4032 0.4032 0.4032
Pt: 0.5968 0.5968 0.5968
Pt: 0.8682 0.8682 0.8682

***

[8]
First-principles (GGA-PBE) data for crystalline RePt3 at its relaxed geometry, as listed in Alexandria.

## Properties
- Spin magnetization: 0.00 μB per formula unit
- N(E_F): 1.05 states/eV per atom
- Energy: -61.09 eV for the cell shown

Unit cell a=2.7878 b=9.1248 c=4.8502 alpha=90.00 beta=90.00 gamma=90.00
Element x y z (fractional)
Re: 0.0000 0.0000 0.0000
Re: 0.5000 0.5000 0.5000
Pt: 0.0000 0.2582 0.3374
Pt: 0.0000 0.5000 0.9899
Pt: 0.0000 0.7418 0.3374
Pt: 0.5000 0.0000 0.4899
Pt: 0.5000 0.2418 0.8374
Pt: 0.5000 0.7582 0.8374

***

[9]
First-principles (GGA-PBE) data for crystalline MgZrNbCu2 at its relaxed geometry, as listed in Alexandria.

## Properties
- Spin magnetization: 0.87 μB per formula unit
- N(E_F): 1.15 states/eV per atom
- Energy: -22.48 eV for the cell shown

Unit cell a=4.6583 b=4.6583 c=4.9582 alpha=90.00 beta=90.00 gamma=90.00
Element x y z (fractional)
Mg: 0.0000 0.0000 0.0000
Zr: 0.5000 0.5000 0.0000
Nb: 0.0000 0.0000 0.5000
Cu: 0.0000 0.5000 0.5000
Cu: 0.5000 0.0000 0.5000

***

[10]
First-principles (GGA-PBE) data for crystalline Ta4AgS8 at its relaxed geometry, as listed in Alexandria.

## Properties
- Spin magnetization: 0.00 μB per formula unit
- N(E_F): 0.81 states/eV per atom
- Energy above the lowest structure with this stoichiometry: 103 meV per atom
- Energy: -94.66 eV for the cell shown

Unit cell a=7.1634 b=7.1634 c=7.1634 alpha=60.00 beta=60.00 gamma=60.00
Element x y z (fractional)
Ta: 0.3898 0.3898 0.3898
Ta: 0.3898 0.3898 0.8306
Ta: 0.3898 0.8306 0.3898
Ta: 0.8306 0.3898 0.3898
Ag: 0.0000 0.0000 0.0000
S: 0.1108 0.6297 0.6297
S: 0.1386 0.1386 0.1386
S: 0.1386 0.1386 0.5843
S: 0.1386 0.5843 0.1386
S: 0.5843 0.1386 0.1386
S: 0.6297 0.1108 0.6297
S: 0.6297 0.6297 0.1108
S: 0.6297 0.6297 0.6297

***

[11]
First-principles (GGA-PBE) data for crystalline SiTeRh2 at its relaxed geometry, as listed in Alexandria.

## Properties
- Spin magnetization: 0.00 μB per formula unit
- N(E_F): 0.50 states/eV per atom
- Energy above the lowest structure with this stoichiometry: 32 meV per atom
- Energy: -49.59 eV for the cell shown

Unit cell a=3.1260 b=3.3972 c=13.1720 alpha=90.00 beta=90.00 gamma=90.00
Element x y z (fractional)
Si: 0.0000 0.0000 0.0000
Si: 0.5000 0.5000 0.5000
Te: 0.0000 0.5000 0.7479
Te: 0.5000 0.0000 0.2479
Rh: 0.0000 0.0000 0.4364
Rh: 0.0000 0.5000 0.1268
Rh: 0.5000 0.0000 0.6268
Rh: 0.5000 0.5000 0.9364

***

[12]
First-principles (GGA-PBE) data for crystalline Zr2ScZn at its relaxed geometry, as listed in Alexandria.

## Properties
- Spin magnetization: 0.00 μB per formula unit
- N(E_F): 1.33 states/eV per atom
- Energy: -50.21 eV for the cell shown

Unit cell a=4.2652 b=4.2652 c=9.1213 alpha=90.00 beta=90.00 gamma=90.00
Element x y z (fractional)
Zr: 0.0000 0.5000 0.2500
Zr: 0.0000 0.5000 0.7500
Zr: 0.5000 0.0000 0.2500
Zr: 0.5000 0.0000 0.7500
Sc: 0.0000 0.0000 0.0000
Sc: 0.5000 0.5000 0.5000
Zn: 0.0000 0.0000 0.5000
Zn: 0.5000 0.5000 0.0000

***

Number 11 is which compound? SiTeRh2

***

Repeat the third record exactly.
First-principles (GGA-PBE) data for crystalline Tc2RuF at its relaxed geometry, as listed in Alexandria.

## Properties
- Spin magnetization: 0.00 μB per formula unit
- N(E_F): 1.15 states/eV per atom
- Energy above the lowest structure with this stoichiometry: 134 meV per atom
- Energy: -121.02 eV for the cell shown

Unit cell a=6.3636 b=6.3636 c=5.5155 alpha=90.00 beta=90.00 gamma=90.00
Element x y z (fractional)
Tc: 0.2215 0.2500 0.1250
Tc: 0.2500 0.7215 0.3750
Tc: 0.2500 0.7785 0.8750
Tc: 0.2785 0.2500 0.6250
Tc: 0.7215 0.7500 0.6250
Tc: 0.7500 0.2215 0.8750
Tc: 0.7500 0.2785 0.3750
Tc: 0.7785 0.7500 0.1250
Ru: 0.0000 0.0000 0.5000
Ru: 0.0000 0.5000 0.7500
Ru: 0.5000 0.0000 0.2500
Ru: 0.5000 0.5000 0.0000
F: 0.0000 0.0000 0.0000
F: 0.0000 0.5000 0.2500
F: 0.5000 0.0000 0.7500
F: 0.5000 0.5000 0.5000